# PBE LiAc2PbS4, relaxed
data_LiAc2PbS4
_symmetry_space_group_name_H-M 'P 1 2/m 1'
_symmetry_Int_Tables_number 10
_symmetry_space_group_name_Hall '-P 2y'
_cell_length_a 7.016
_cell_length_b 4.401
_cell_length_c 7.513
_cell_angle_alpha 90.00
_cell_angle_beta 110.79
_cell_angle_gamma 90.00
loop_
_atom_site_label
_atom_site_type_symbol
_atom_site_fract_x
_atom_site_fract_y
_atom_site_fract_z
_atom_site_occupancy
Li1 Li 0.000 0.000 0.000 1
Ac1 Ac 0.500 0.000 0.500 1
Ac2 Ac 0.500 0.500 0.000 1
Pb1 Pb 0.000 0.500 0.500 1
S1 S 0.244 0.000 0.761 1
S2 S 0.247 0.500 0.243 1
# **Spin magnetization**: 0.000 μB/atom
# **Energy**: -5.26 eV/atom